! PBE-GGA Th4Te3C, optimized geometry; values from VASP
&SYSTEM
  ibrav = 0, nat = 16, ntyp = 3
/
ATOMIC_SPECIES
Th 232.04 Th.upf
Te 127.60 Te.upf
C 12.01 C.upf
CELL_PARAMETERS angstrom
10.556 0.000 0.000
0.000 8.257 0.000
0.000 0.000 5.949
ATOMIC_POSITIONS crystal
Th 0.000 0.109 0.000
Th 0.000 0.831 0.503
Th 0.205 0.223 0.498
Th 0.295 0.777 0.998
Th 0.500 0.169 0.003
Th 0.500 0.891 0.500
Th 0.705 0.777 0.998
Th 0.795 0.223 0.498
Te 0.000 0.720 0.003
Te 0.230 0.363 0.998
Te 0.270 0.637 0.498
Te 0.500 0.280 0.503
Te 0.730 0.637 0.498
Te 0.770 0.363 0.998
C 0.000 0.115 0.477
C 0.500 0.885 0.977
! crystal system	orthorhombic
! raw formation energy	-0.670	eV/atom

***

! PBE-GGA Zr4ScPa2, optimized geometry; values from VASP
&SYSTEM
  ibrav = 0, nat = 7, ntyp = 3
/
ATOMIC_SPECIES
Zr 91.22 Zr.upf
Sc 44.96 Sc.upf
Pa 231.04 Pa.upf
CELL_PARAMETERS angstrom
5.921 -1.594 0.000
5.921 1.594 0.000
-0.008 0.000 8.991
ATOMIC_POSITIONS crystal
Zr 0.051 0.051 0.181
Zr 0.251 0.251 0.653
Zr 0.749 0.749 0.347
Zr 0.949 0.949 0.819
Sc 0.000 0.000 0.500
Pa 0.342 0.342 0.077
Pa 0.658 0.658 0.923
! E	-8.3183	eV/atom
! crystal system	monoclinic

***

! PBE-GGA Co2Mo, optimized geometry; values from VASP
&SYSTEM
  ibrav = 0, nat = 6, ntyp = 2
/
ATOMIC_SPECIES
Co 58.93 Co.upf
Mo 95.94 Mo.upf
CELL_PARAMETERS angstrom
-1.291 1.941 7.787
1.291 -1.941 7.787
1.291 1.941 -7.787
ATOMIC_POSITIONS crystal
Co 0.290 0.040 0.250
Co 0.441 0.191 0.250
Co 0.559 0.809 0.750
Co 0.710 0.960 0.750
Mo 0.137 0.387 0.750
Mo 0.863 0.613 0.250
! E	-8.0400	eV/atom
! crystal system	orthorhombic

***

! PBE-GGA CoBr3, optimized geometry; values from VASP
&SYSTEM
  ibrav = 0, nat = 4, ntyp = 2
/
ATOMIC_SPECIES
Co 58.93 Co.upf
Br 79.90 Br.upf
CELL_PARAMETERS angstrom
3.194 0.000 0.000
0.000 3.194 0.000
0.000 0.000 10.855
ATOMIC_POSITIONS crystal
Co 0.000 0.000 0.000
Br 0.000 0.000 0.500
Br 0.500 0.500 0.147
Br 0.500 0.500 0.853
! crystal system	tetragonal
! raw formation energy	0.223	eV/atom

***

! PBE-GGA Pd2SeBr, optimized geometry; values from VASP
&SYSTEM
  ibrav = 0, nat = 4, ntyp = 3
/
ATOMIC_SPECIES
Pd 106.42 Pd.upf
Se 78.96 Se.upf
Br 79.90 Br.upf
CELL_PARAMETERS angstrom
0.000 3.306 3.306
3.306 0.000 3.306
3.306 3.306 0.000
ATOMIC_POSITIONS crystal
Pd 0.250 0.250 0.250
Pd 0.750 0.750 0.750
Se 0.000 0.000 0.000
Br 0.500 0.500 0.500
! relative energy among the computed polymorphs	1.621	eV/f.u.
! crystal system	cubic
! raw formation energy	0.178	eV/atom

***

! PBE-GGA TeS3Cl, optimized geometry; values from VASP
&SYSTEM
  ibrav = 0, nat = 5, ntyp = 3
/
ATOMIC_SPECIES
Te 127.60 Te.upf
S 32.06 S.upf
Cl 35.45 Cl.upf
CELL_PARAMETERS angstrom
5.116 0.000 0.000
0.000 5.116 0.000
0.000 0.000 5.116
ATOMIC_POSITIONS crystal
Te 0.000 0.000 0.000
S 0.000 0.000 0.500
S 0.000 0.500 0.000
S 0.500 0.000 0.000
Cl 0.500 0.500 0.500
! relative energy among the computed polymorphs	4.172	eV/f.u.
! crystal system	cubic
! raw formation energy	0.828	eV/atom

***

! PBE-GGA KHfAg2, optimized geometry; values from VASP
&SYSTEM
  ibrav = 0, nat = 8, ntyp = 3
/
ATOMIC_SPECIES
K 39.10 K.upf
Hf 178.49 Hf.upf
Ag 107.87 Ag.upf
CELL_PARAMETERS angstrom
-3.989 3.989 3.513
3.989 -3.989 3.513
3.989 3.989 -3.513
ATOMIC_POSITIONS crystal
K 0.000 0.000 0.000
K 0.750 0.250 0.500
Hf 0.250 0.750 0.500
Hf 0.500 0.500 0.000
Ag 0.167 0.125 0.542
Ag 0.375 0.833 0.958
Ag 0.583 0.625 0.458
Ag 0.875 0.417 0.042
! relative energy among the computed polymorphs	0.607	eV/f.u.
! crystal system	tetragonal

***

! PBE-GGA In4SeI2, optimized geometry; values from VASP
&SYSTEM
  ibrav = 0, nat = 7, ntyp = 3
/
ATOMIC_SPECIES
In 114.82 In.upf
Se 78.96 Se.upf
I 126.90 I.upf
CELL_PARAMETERS angstrom
-2.903 2.903 8.913
2.903 -2.903 8.913
2.903 2.903 -8.913
ATOMIC_POSITIONS crystal
In 0.000 0.500 0.500
In 0.166 0.166 0.000
In 0.500 0.000 0.500
In 0.834 0.834 0.000
Se 0.000 0.000 0.000
I 0.375 0.375 0.000
I 0.625 0.625 0.000
! crystal system	tetragonal
! raw formation energy	-0.172	eV/atom

***

! PBE-GGA Sr2Tl2Au3, optimized geometry; values from VASP
&SYSTEM
  ibrav = 0, nat = 14, ntyp = 3
/
ATOMIC_SPECIES
Sr 87.62 Sr.upf
Tl 204.38 Tl.upf
Au 196.97 Au.upf
CELL_PARAMETERS angstrom
8.042 -2.331 0.000
8.042 2.331 0.000
-7.772 0.000 11.080
ATOMIC_POSITIONS crystal
Sr 0.103 0.103 0.449
Sr 0.232 0.232 0.827
Sr 0.768 0.768 0.173
Sr 0.897 0.897 0.551
Tl 0.098 0.098 0.172
Tl 0.435 0.435 0.174
Tl 0.565 0.565 0.826
Tl 0.902 0.902 0.828
Au 0.132 0.132 0.981
Au 0.333 0.333 0.668
Au 0.417 0.417 0.379
Au 0.583 0.583 0.621
Au 0.667 0.667 0.332
Au 0.868 0.868 0.019
! E	-3.0229	eV/atom
! crystal system	monoclinic

***

! PBE-GGA LaPuRe4, optimized geometry; values from VASP
&SYSTEM
  ibrav = 0, nat = 6, ntyp = 3
/
ATOMIC_SPECIES
La 138.91 La.upf
Pu 244.00 Pu.upf
Re 186.21 Re.upf
CELL_PARAMETERS angstrom
0.000 3.873 3.873
3.873 0.000 3.873
3.873 3.873 0.000
ATOMIC_POSITIONS crystal
La 0.000 0.000 0.000
Pu 0.250 0.250 0.250
Re 0.125 0.625 0.625
Re 0.625 0.125 0.625
Re 0.625 0.625 0.125
Re 0.625 0.625 0.625
! E	-11.4071	eV/atom
! crystal system	cubic

***

! PBE-GGA GeWAu, optimized geometry; values from VASP
&SYSTEM
  ibrav = 0, nat = 6, ntyp = 3
/
ATOMIC_SPECIES
Ge 72.64 Ge.upf
W 183.84 W.upf
Au 196.97 Au.upf
CELL_PARAMETERS angstrom
2.057 1.188 7.483
-2.057 1.188 7.483
0.000 -2.375 7.483
ATOMIC_POSITIONS crystal
Ge 0.085 0.085 0.085
Ge 0.915 0.915 0.915
W 0.201 0.201 0.201
W 0.799 0.799 0.799
Au 0.369 0.369 0.369
Au 0.631 0.631 0.631
! E	-6.5005	eV/atom
! crystal system	trigonal

***

! PBE-GGA ZrSb2Cl, optimized geometry; values from VASP
&SYSTEM
  ibrav = 0, nat = 4, ntyp = 3
/
ATOMIC_SPECIES
Zr 91.22 Zr.upf
Sb 121.76 Sb.upf
Cl 35.45 Cl.upf
CELL_PARAMETERS angstrom
1.719 0.993 10.351
-1.719 0.993 10.351
0.000 -1.985 10.351
ATOMIC_POSITIONS crystal
Zr 0.000 0.000 0.000
Sb 0.260 0.260 0.260
Sb 0.516 0.516 0.516
Cl 0.723 0.723 0.723
! relative energy among the computed polymorphs	0.329	eV/f.u.
! crystal system	trigonal
! raw formation energy	-0.574	eV/atom

***

! PBE-GGA TlB2PO, optimized geometry; values from VASP
&SYSTEM
  ibrav = 0, nat = 5, ntyp = 4
/
ATOMIC_SPECIES
Tl 204.38 Tl.upf
B 10.81 B.upf
P 30.97 P.upf
O 16.00 O.upf
CELL_PARAMETERS angstrom
4.415 0.000 0.000
0.000 4.415 0.000
0.000 0.000 3.707
ATOMIC_POSITIONS crystal
Tl 0.000 0.000 0.000
B 0.000 0.500 0.500
B 0.500 0.000 0.500
P 0.500 0.500 0.000
O 0.500 0.500 0.500
! crystal system	tetragonal
! raw formation energy	1.446	eV/atom

***

! PBE-GGA CoRu2Cl, optimized geometry; values from VASP
&SYSTEM
  ibrav = 0, nat = 4, ntyp = 3
/
ATOMIC_SPECIES
Co 58.93 Co.upf
Ru 101.07 Ru.upf
Cl 35.45 Cl.upf
CELL_PARAMETERS angstrom
-1.404 2.258 4.387
1.404 -2.258 4.387
1.404 2.258 -4.387
ATOMIC_POSITIONS crystal
Co 0.000 0.000 0.000
Ru 0.269 0.769 0.500
Ru 0.731 0.231 0.500
Cl 0.500 0.500 0.000
! relative energy among the computed polymorphs	1.622	eV/f.u.
! crystal system	orthorhombic
! raw formation energy	0.760	eV/atom

***

! PBE-GGA MnPt2Br, optimized geometry; values from VASP
&SYSTEM
  ibrav = 0, nat = 4, ntyp = 3
/
ATOMIC_SPECIES
Mn 54.94 Mn.upf
Pt 195.08 Pt.upf
Br 79.90 Br.upf
CELL_PARAMETERS angstrom
2.747 -2.890 0.000
2.747 2.890 0.000
0.000 0.000 4.624
ATOMIC_POSITIONS crystal
Mn 0.000 0.000 0.000
Pt 0.230 0.770 0.500
Pt 0.770 0.230 0.500
Br 0.500 0.500 0.000
! relative energy among the computed polymorphs	0.568	eV/f.u.
! crystal system	orthorhombic
! raw formation energy	0.192	eV/atom

***

! PBE-GGA Pr2ZnGa12, optimized geometry; values from VASP
&SYSTEM
  ibrav = 0, nat = 30, ntyp = 3
/
ATOMIC_SPECIES
Pr 140.91 Pr.upf
Zn 65.41 Zn.upf
Ga 69.72 Ga.upf
CELL_PARAMETERS angstrom
6.294 0.000 0.000
0.000 6.294 0.000
0.000 0.000 15.211
ATOMIC_POSITIONS crystal
Pr 0.250 0.750 0.247
Pr 0.250 0.750 0.753
Pr 0.750 0.250 0.247
Pr 0.750 0.250 0.753
Zn 0.250 0.750 0.000
Zn 0.750 0.250 0.000
Ga 0.001 0.501 0.089
Ga 0.001 0.999 0.911
Ga 0.079 0.579 0.571
Ga 0.079 0.921 0.429
Ga 0.250 0.250 0.180
Ga 0.250 0.250 0.344
Ga 0.250 0.250 0.656
Ga 0.250 0.250 0.820
Ga 0.421 0.579 0.429
Ga 0.421 0.921 0.571
Ga 0.499 0.501 0.911
Ga 0.499 0.999 0.089
Ga 0.501 0.001 0.911
Ga 0.501 0.499 0.089
Ga 0.579 0.079 0.429
Ga 0.579 0.421 0.571
Ga 0.750 0.750 0.180
Ga 0.750 0.750 0.344
Ga 0.750 0.750 0.656
Ga 0.750 0.750 0.820
Ga 0.921 0.079 0.571
Ga 0.921 0.421 0.429
Ga 0.999 0.001 0.089
Ga 0.999 0.499 0.911
! E	-3.4586	eV/atom
! crystal system	tetragonal

***

! PBE-GGA Rb2CdSbO4, optimized geometry; values from VASP
&SYSTEM
  ibrav = 0, nat = 8, ntyp = 4
/
ATOMIC_SPECIES
Rb 85.47 Rb.upf
Cd 112.41 Cd.upf
Sb 121.76 Sb.upf
O 16.00 O.upf
CELL_PARAMETERS angstrom
-3.145 3.145 4.343
3.145 -3.145 4.343
3.145 3.145 -4.343
ATOMIC_POSITIONS crystal
Rb 0.000 0.000 0.000
Rb 0.750 0.250 0.500
Cd 0.250 0.750 0.500
Sb 0.500 0.500 0.000
O 0.233 0.602 0.078
O 0.398 0.476 0.631
O 0.524 0.155 0.922
O 0.845 0.767 0.369
! crystal system	tetragonal
! raw formation energy	-1.324	eV/atom

***

! PBE-GGA AgPt3, optimized geometry; values from VASP
&SYSTEM
  ibrav = 0, nat = 4, ntyp = 2
/
ATOMIC_SPECIES
Ag 107.87 Ag.upf
Pt 195.08 Pt.upf
CELL_PARAMETERS angstrom
0.000 3.191 3.191
3.191 0.000 3.191
3.191 3.191 0.000
ATOMIC_POSITIONS crystal
Ag 0.000 0.000 0.000
Pt 0.250 0.250 0.250
Pt 0.500 0.500 0.500
Pt 0.750 0.750 0.750
! E	-5.0934	eV/atom
! crystal system	cubic

***

! PBE-GGA LiCaAs4, optimized geometry; values from VASP
&SYSTEM
  ibrav = 0, nat = 6, ntyp = 3
/
ATOMIC_SPECIES
Li 6.94 Li.upf
Ca 40.08 Ca.upf
As 74.92 As.upf
CELL_PARAMETERS angstrom
0.000 4.022 4.022
4.022 0.000 4.022
4.022 4.022 0.000
ATOMIC_POSITIONS crystal
Li 0.000 0.000 0.000
Ca 0.250 0.250 0.250
As 0.122 0.626 0.626
As 0.626 0.122 0.626
As 0.626 0.626 0.122
As 0.626 0.626 0.626
! E	-4.0114	eV/atom
! crystal system	cubic

***

! PBE-GGA BaTa2Cr, optimized geometry; values from VASP
&SYSTEM
  ibrav = 0, nat = 4, ntyp = 3
/
ATOMIC_SPECIES
Ba 137.33 Ba.upf
Ta 180.95 Ta.upf
Cr 52.00 Cr.upf
CELL_PARAMETERS angstrom
2.894 -5.284 0.000
2.894 5.284 0.000
-0.902 0.000 2.837
ATOMIC_POSITIONS crystal
Ba 0.000 0.000 0.000
Ta 0.000 0.500 0.500
Ta 0.500 0.000 0.500
Cr 0.500 0.500 0.000
! relative energy among the computed polymorphs	2.418	eV/f.u.
! crystal system	monoclinic

***

! PBE-GGA Dy2NiP4Ir3, optimized geometry; values from VASP
&SYSTEM
  ibrav = 0, nat = 10, ntyp = 4
/
ATOMIC_SPECIES
Dy 162.50 Dy.upf
Ni 58.69 Ni.upf
P 30.97 P.upf
Ir 192.22 Ir.upf
CELL_PARAMETERS angstrom
4.136 0.000 0.000
0.000 4.136 0.000
0.000 0.000 9.386
ATOMIC_POSITIONS crystal
Dy 0.000 0.500 0.247
Dy 0.500 0.000 0.753
Ni 0.000 0.000 0.500
P 0.000 0.000 0.000
P 0.000 0.500 0.633
P 0.500 0.000 0.367
P 0.500 0.500 0.000
Ir 0.000 0.500 0.883
Ir 0.500 0.000 0.117
Ir 0.500 0.500 0.500
! E	-7.2746	eV/atom
! crystal system	tetragonal

***

! PBE-GGA Li3HgAu3, optimized geometry; values from VASP
&SYSTEM
  ibrav = 0, nat = 14, ntyp = 3
/
ATOMIC_SPECIES
Li 6.94 Li.upf
Hg 200.59 Hg.upf
Au 196.97 Au.upf
CELL_PARAMETERS angstrom
7.155 0.000 0.000
0.000 7.155 0.000
0.000 0.000 7.155
ATOMIC_POSITIONS crystal
Li 0.000 0.250 0.500
Li 0.000 0.750 0.500
Li 0.250 0.500 0.000
Li 0.500 0.000 0.250
Li 0.500 0.000 0.750
Li 0.750 0.500 0.000
Hg 0.000 0.000 0.000
Hg 0.500 0.500 0.500
Au 0.000 0.500 0.250
Au 0.000 0.500 0.750
Au 0.250 0.000 0.500
Au 0.500 0.250 0.000
Au 0.500 0.750 0.000
Au 0.750 0.000 0.500
! relative energy among the computed polymorphs	1.597	eV/f.u.
! crystal system	cubic

***

! PBE-GGA Mg2BeOs, optimized geometry; values from VASP
&SYSTEM
  ibrav = 0, nat = 4, ntyp = 3
/
ATOMIC_SPECIES
Mg 24.30 Mg.upf
Be 9.01 Be.upf
Os 190.23 Os.upf
CELL_PARAMETERS angstrom
3.045 0.000 0.000
0.000 3.045 0.000
0.000 0.000 6.917
ATOMIC_POSITIONS crystal
Mg 0.000 0.000 0.000
Mg 0.500 0.500 0.351
Be 0.500 0.500 0.726
Os 0.000 0.000 0.610
! E	-4.5142	eV/atom
! crystal system	tetragonal

***

! PBE-GGA BeCd2Te, optimized geometry; values from VASP
&SYSTEM
  ibrav = 0, nat = 4, ntyp = 3
/
ATOMIC_SPECIES
Be 9.01 Be.upf
Cd 112.41 Cd.upf
Te 127.60 Te.upf
CELL_PARAMETERS angstrom
3.131 0.000 0.000
0.000 3.131 0.000
0.000 0.000 8.854
ATOMIC_POSITIONS crystal
Be 0.000 0.000 0.000
Cd 0.500 0.500 0.177
Cd 0.500 0.500 0.823
Te 0.000 0.000 0.500
! relative energy among the computed polymorphs	0.637	eV/f.u.
! crystal system	tetragonal
! raw formation energy	0.323	eV/atom